First-principles (PBE) data for a relaxed TcSbW2 crystal, as listed in the Alexandria database.

Structure (POSCAR):
```
TcSbW2
1.0
-2.912 -3.347 -1.020
1.206 0.256 -4.382
3.166 -0.622 3.212
Tc W Sb
1 2 1
Cartesian
-0.299 -2.758 -0.255
1.760 -0.956 -1.936
0.000 0.000 0.000
-0.853 -1.546 -2.701
```

Summary:
Symmetry: No. 119
DOS(E_F) (states/eV/f.u.): 3.463
E_form (uncorrected) (meV/atom): 421
Raw total energy (eV per formula unit): -38.7

First-principles (PBE) data for a relaxed TcSbW2 crystal, as listed in the Alexandria database.

Structure (POSCAR):
```
TcSbW2
1.0
5.272 -0.007 0.000
2.476 4.655 0.000
-3.874 -2.324 2.718
W Sb Tc
2 1 1
Cartesian
3.874 2.324 0.000
0.000 0.000 0.000
1.238 2.327 1.359
2.636 -0.003 1.359
```

Summary:
Symmetry: No. 139
DOS(E_F) (states/eV/f.u.): 2.834
E_form (uncorrected) (meV/atom): 403
Raw total energy (eV per formula unit): -38.8

First-principles (PBE) data for a relaxed TcSb2W crystal, as listed in the Alexandria database.

Structure (POSCAR):
```
TcSb2W
1.0
-3.905 -1.510 -0.660
0.702 0.012 -4.180
1.630 -9.331 -1.903
Sb W Tc
4 2 2
Cartesian
0.026 -7.560 -3.269
0.333 -2.523 -3.175
-1.921 -3.266 -1.407
-1.585 -8.309 -5.636
-1.938 -5.795 -2.491
0.000 0.000 0.000
-1.602 -0.749 -2.420
0.365 -5.034 -4.252
```

Summary:
Symmetry: No. 122
DOS(E_F) (states/eV/f.u.): 4.445
E_form (uncorrected) (meV/atom): 855
Raw total energy (eV per formula unit): -28.1
Distance to the lowest polymorph of the same formula (eV per atom): 0.703